This record from Alexandria describes a relaxed structure of Ca2HfZrN4. The functional is PBE.

## Properties
Its density of states at the Fermi level is 0.0 states/eV/f.u. Its uncorrected formation energy is -12.36 eV per formula unit. Its magnetization is 0.000 μB per atom.

Structure (CIF):
```
data_Ca2HfZrN4
_chemical_formula_sum 'Ca2 Hf1 Zr1 N4'
_cell_length_a 5.734
_cell_length_b 3.311
_cell_length_c 5.934
_cell_angle_alpha 90.00
_cell_angle_beta 108.78
_cell_angle_gamma 90.00
_space_group_name_H-M_alt 'P 1 2/m 1'
_space_group_IT_number 10
loop_
_space_group_symop_operation_xyz
'x,y,z'
'-x,-y,-z'
'-x,y,-z'
'x,-y,z'
loop_
_atom_site_label
_atom_site_fract_x
_atom_site_fract_y
_atom_site_fract_z
_atom_site_occupancy
Ca1 0.000 0.000 0.000 1
Ca2 0.500 0.500 0.000 1
Hf1 0.000 0.500 0.500 1
Zr1 0.500 0.000 0.500 1
N1 0.235 0.000 0.714 1
N2 0.259 0.500 0.285 1
```

---

This record from Alexandria describes a relaxed structure of Zr3TaS. The functional is PBE.

## Properties
Its density of states at the Fermi level is 3.1 states/eV/f.u. Its uncorrected formation energy is -1.17 eV per formula unit. Its magnetization is 0.000 μB per atom.

Structure (CIF):
```
data_Zr3TaS
_chemical_formula_sum 'Zr3 Ta1 S1'
_cell_length_a 4.795
_cell_length_b 4.795
_cell_length_c 4.795
_cell_angle_alpha 90.00
_cell_angle_beta 90.00
_cell_angle_gamma 90.00
_space_group_name_H-M_alt 'P m -3 m'
_space_group_IT_number 221
_space_group_name_Hall '-P 4 2 3'
loop_
_atom_site_label
_atom_site_fract_x
_atom_site_fract_y
_atom_site_fract_z
_atom_site_occupancy
Zr1 0.000 0.000 0.500 1
Ta1 0.500 0.500 0.500 1
S1 0.000 0.000 0.000 1
```

---

This record from Alexandria describes a relaxed structure of Al2VAu. The functional is PBE.

## Properties
Its density of states at the Fermi level is 1.6 states/eV/f.u. The value obtained for the energy is -5.10 eV/atom. Its magnetization is 0.438 μB per atom.

Structure (CIF):
```
data_Al2VAu
_chemical_formula_sum 'Al8 V4 Au4'
_cell_length_a 6.263
_cell_length_b 6.263
_cell_length_c 6.263
_cell_angle_alpha 90.00
_cell_angle_beta 90.00
_cell_angle_gamma 90.00
_space_group_name_H-M_alt 'F m -3 m'
_space_group_IT_number 225
_space_group_name_Hall '-F 4 2 3'
loop_
_atom_site_label
_atom_site_fract_x
_atom_site_fract_y
_atom_site_fract_z
_atom_site_occupancy
Al1 0.250 0.250 0.250 1
V1 0.000 0.000 0.000 1
Au1 0.000 0.000 0.500 1
```

---

This record from Alexandria describes a relaxed structure of Zr2Mn9Nb. The functional is PBE.

## Properties
Its density of states at the Fermi level is 17.7 states/eV/f.u. The value obtained for the energy is -9.19 eV/atom. Its magnetization is 0.223 μB per atom.

Structure (CIF):
```
data_Zr2Mn9Nb
_chemical_formula_sum 'Zr6 Mn27 Nb3'
_cell_length_a 4.8121
_cell_length_b 4.8121
_cell_length_c 24.0799
_cell_angle_alpha 90.00
_cell_angle_beta 90.00
_cell_angle_gamma 120.00
_space_group_name_H-M_alt 'R -3 m'
_space_group_IT_number 166
_space_group_name_Hall '-R 3 2"'
loop_
_atom_site_label
_atom_site_fract_x
_atom_site_fract_y
_atom_site_fract_z
_atom_site_occupancy
Zr1 0.0000 0.0000 0.1408 1
Mn1 0.0000 0.0000 0.3372 1
Mn2 0.0000 0.0000 0.5000 1
Mn3 0.0100 0.5050 0.9185 1
Nb1 0.0000 0.0000 0.0000 1
```

---

This record from Alexandria describes a relaxed structure of Sm8Pt3SI4. The functional is PBE.

## Properties
Its density of states at the Fermi level is 13.6 states/eV/f.u. Its uncorrected formation energy is -18.71 eV per formula unit. Its magnetization is 0.000 μB per atom.

Structure (CIF):
```
data_Sm8Pt3SI4
_chemical_formula_sum 'Sm24 Pt9 S3 I12'
_cell_length_a 8.4862
_cell_length_b 8.4862
_cell_length_c 23.5219
_cell_angle_alpha 90.00
_cell_angle_beta 90.00
_cell_angle_gamma 120.00
_space_group_name_H-M_alt 'R -3 m'
_space_group_IT_number 166
_space_group_name_Hall '-R 3 2"'
loop_
_atom_site_label
_atom_site_fract_x
_atom_site_fract_y
_atom_site_fract_z
_atom_site_occupancy
Sm1 0.0000 0.0000 0.2274 1
Sm2 0.0058 0.5029 0.7703 1
Pt1 0.0000 0.5000 0.5000 1
S1 0.0000 0.0000 0.5000 1
I1 0.0000 0.0000 0.0000 1
I2 0.0000 0.5000 0.0000 1
```

---

This record from Alexandria describes a relaxed structure of Li2CdPb. The functional is PBE.

## Properties
Its density of states at the Fermi level is 1.5 states/eV/f.u. The value obtained for the energy is -2.17 eV/atom. Its magnetization is 0.000 μB per atom.

Structure (CIF):
```
data_Li2CdPb
_chemical_formula_sum 'Li8 Cd4 Pb4'
_cell_length_a 7.745
_cell_length_b 7.745
_cell_length_c 6.144
_cell_angle_alpha 90.00
_cell_angle_beta 90.00
_cell_angle_gamma 90.00
_space_group_name_H-M_alt 'I -4 2 d'
_space_group_IT_number 122
_space_group_name_Hall 'I -4 2bw'
loop_
_atom_site_label
_atom_site_fract_x
_atom_site_fract_y
_atom_site_fract_z
_atom_site_occupancy
Li1 0.238 0.750 0.125 1
Cd1 0.000 0.000 0.000 1
Pb1 0.000 0.000 0.500 1
```

---

This record from Alexandria describes a relaxed structure of Cd2SiPPt6. The functional is PBE.

## Properties
Its density of states at the Fermi level is 2.9 states/eV/f.u. Its uncorrected formation energy is -3.36 eV per formula unit. Its magnetization is 0.000 μB per atom.

Structure (CIF):
```
data_Cd2SiPPt6
_chemical_formula_sum 'Cd4 Si2 P2 Pt12'
_cell_length_a 5.524
_cell_length_b 8.510
_cell_length_c 7.833
_cell_angle_alpha 90.00
_cell_angle_beta 90.00
_cell_angle_gamma 90.00
_space_group_name_H-M_alt 'P m m n'
_space_group_IT_number 59
loop_
_space_group_symop_operation_xyz
'x,y,z'
'-x,-y,-z'
'-x+1/2,-y+1/2,z'
'x+1/2,y+1/2,-z'
'x+1/2,-y,-z'
'-x+1/2,y,z'
'-x,y+1/2,-z'
'x,-y+1/2,z'
loop_
_atom_site_label
_atom_site_fract_x
_atom_site_fract_y
_atom_site_fract_z
_atom_site_occupancy
Cd1 0.250 0.019 0.204 1
Si1 0.250 0.750 0.771 1
P1 0.250 0.250 0.746 1
Pt1 0.001 0.750 0.510 1
Pt2 0.006 0.750 0.022 1
Pt3 0.250 0.001 0.634 1
```

---

This record from Alexandria describes a relaxed structure of KZr2Pb. The functional is PBE.

## Properties
Its density of states at the Fermi level is 3.5 states/eV/f.u. The value obtained for the energy is -5.08 eV/atom. Its magnetization is 0.000 μB per atom.

Structure (CIF):
```
data_KZr2Pb
_chemical_formula_sum 'K1 Zr2 Pb1'
_cell_length_a 3.255
_cell_length_b 5.444
_cell_length_c 6.679
_cell_angle_alpha 90.00
_cell_angle_beta 97.61
_cell_angle_gamma 90.00
_space_group_name_H-M_alt 'P 1 2/m 1'
_space_group_IT_number 10
loop_
_space_group_symop_operation_xyz
'x,y,z'
'-x,-y,-z'
'-x,y,-z'
'x,-y,z'
loop_
_atom_site_label
_atom_site_fract_x
_atom_site_fract_y
_atom_site_fract_z
_atom_site_occupancy
K1 0.000 0.000 0.000 1
Zr1 0.291 0.500 0.686 1
Pb1 0.500 0.000 0.500 1
```

---

This record from Alexandria describes a relaxed structure of AlGa2Te4. The functional is PBE.

## Properties
Its density of states at the Fermi level is 3.3 states/eV/f.u. Its uncorrected formation energy is -2.12 eV per formula unit. Its magnetization is 0.000 μB per atom.

Structure (CIF):
```
data_AlGa2Te4
_chemical_formula_sum 'Al2 Ga4 Te8'
_cell_length_a 6.403
_cell_length_b 6.403
_cell_length_c 11.460
_cell_angle_alpha 90.00
_cell_angle_beta 90.00
_cell_angle_gamma 90.00
_space_group_name_H-M_alt 'I -4 2 m'
_space_group_IT_number 121
_space_group_name_Hall 'I -4 2'
loop_
_atom_site_label
_atom_site_fract_x
_atom_site_fract_y
_atom_site_fract_z
_atom_site_occupancy
Al1 0.000 0.000 0.000 1
Ga1 0.000 0.500 0.250 1
Te1 0.244 0.244 0.613 1
```

---

This record from Alexandria describes a relaxed structure of Nd3Sm2Tm. The functional is PBE.

## Properties
Its density of states at the Fermi level is 7.0 states/eV/f.u. The value obtained for the energy is -4.70 eV/atom. Its magnetization is 0.000 μB per atom.

Structure (CIF):
```
data_Nd3Sm2Tm
_chemical_formula_sum 'Nd12 Sm8 Tm4'
_cell_length_a 10.947
_cell_length_b 6.316
_cell_length_c 11.724
_cell_angle_alpha 90.00
_cell_angle_beta 90.00
_cell_angle_gamma 90.00
_space_group_name_H-M_alt 'C m c m'
_space_group_IT_number 63
_space_group_name_Hall '-C 2c 2'
loop_
_atom_site_label
_atom_site_fract_x
_atom_site_fract_y
_atom_site_fract_z
_atom_site_occupancy
Nd1 0.000 0.000 0.000 1
Nd2 0.165 0.500 0.000 1
Sm1 0.167 0.166 0.250 1
Tm1 0.000 0.333 0.750 1
```

---

This record from Alexandria describes a relaxed structure of LiGaNF2. The functional is PBE.

## Properties
Its density of states at the Fermi level is 3.0 states/eV/f.u. Its uncorrected formation energy is -6.06 eV per formula unit. Its magnetization is 0.200 μB per atom.

Structure (CIF):
```
data_LiGaNF2
_chemical_formula_sum 'Li1 Ga1 N1 F2'
_cell_length_a 4.089
_cell_length_b 4.089
_cell_length_c 3.735
_cell_angle_alpha 90.00
_cell_angle_beta 90.00
_cell_angle_gamma 90.00
_space_group_name_H-M_alt 'P 4/m m m'
_space_group_IT_number 123
_space_group_name_Hall '-P 4 2'
loop_
_atom_site_label
_atom_site_fract_x
_atom_site_fract_y
_atom_site_fract_z
_atom_site_occupancy
Li1 0.000 0.000 0.000 1
Ga1 0.500 0.500 0.500 1
N1 0.500 0.500 0.000 1
F1 0.000 0.500 0.500 1
```

---

This record from Alexandria describes a relaxed structure of Be3SnW. The functional is PBE.

## Properties
Its density of states at the Fermi level is 5.9 states/eV/f.u. The value obtained for the energy is -3.68 eV/atom. Its magnetization is 0.000 μB per atom.

Structure (CIF):
```
data_Be3SnW
_chemical_formula_sum 'Be3 Sn1 W1'
_cell_length_a 4.359
_cell_length_b 4.359
_cell_length_c 4.359
_cell_angle_alpha 90.00
_cell_angle_beta 90.00
_cell_angle_gamma 90.00
_space_group_name_H-M_alt 'P m -3 m'
_space_group_IT_number 221
_space_group_name_Hall '-P 4 2 3'
loop_
_atom_site_label
_atom_site_fract_x
_atom_site_fract_y
_atom_site_fract_z
_atom_site_occupancy
Be1 0.000 0.000 0.500 1
Sn1 0.000 0.000 0.000 1
W1 0.500 0.500 0.500 1
```